# SmYTeSe2, relaxed, DFT PBE
# * E: -5.6162 eV per atom
# * ΔE_f (raw): -1357 meV/atom
# * Fermi-level density of states: 0.45 states/eV per cell
data_SmYTeSe2
_cell_length_a 4.658
_cell_length_b 4.658
_cell_length_c 14.212
_cell_angle_alpha 90.00
_cell_angle_beta 90.00
_cell_angle_gamma 90.00
_symmetry_space_group_name_H-M 'I 4 m m'
_symmetry_Int_Tables_number 107
_symmetry_space_group_name_Hall 'I 4 -2'
loop_
_atom_site_label
_atom_site_type_symbol
_atom_site_fract_x
_atom_site_fract_y
_atom_site_fract_z
Sm1 Sm 0.000 0.000 0.000
Y1 Y 0.000 0.000 0.722
Te1 Te 0.000 0.000 0.365
Se1 Se 0.000 0.500 0.115